# 1
GdZrOs | Alexandria via LeMat-Bulk | PBE | optimized geometry; E_form = -120 meV per atom; VASP energy = -34.219 eV per cell; symmetry = F-43m (216); relative energy among the computed polymorphs = 36 meV per atom
1.0
4.677 0.000 0.000
2.338 4.050 0.000
2.338 1.350 3.819
Os Gd Zr
1 1 1
Direct
0.250 0.250 0.250
0.500 0.500 0.500
0.000 0.000 0.000

***

# 2
TaP2Pt | Alexandria via LeMat-Bulk | PBE | optimized geometry; E_form = -197 meV per atom; VASP energy = -59.002 eV per cell; symmetry = I-42d (122); relative energy among the computed polymorphs = 336 meV per atom
1.0
5.563 0.000 0.000
0.000 5.563 0.000
2.782 2.782 5.303
P Ta Pt
4 2 2
Direct
0.112 0.625 0.250
0.875 0.888 0.750
0.375 0.362 0.750
0.638 0.125 0.250
0.250 0.750 0.500
0.500 0.500 0.000
0.750 0.250 0.500
0.000 0.000 0.000

***

# 3
BaCd2Ni2 | Alexandria via LeMat-Bulk | PBE | optimized geometry; E_form = 33 meV per atom; VASP energy = -15.153 eV per cell; symmetry = I4/mmm (139); relative energy among the computed polymorphs = 70 meV per atom
1.0
-0.465 -1.623 -4.454
4.558 -1.382 0.028
0.642 -6.100 -0.392
Cd Ni Ba
2 2 1
Direct
0.355 0.355 0.289
0.645 0.645 0.711
0.750 0.250 0.500
0.250 0.750 0.500
0.000 0.000 0.000

***

# 4
Li2MgIn | Alexandria via LeMat-Bulk | PBE | optimized geometry; E_form = -155 meV per atom; VASP energy = -8.781 eV per cell; symmetry = P2/m (10)
1.0
-2.588 -1.786 3.379
-1.303 -1.864 -1.983
3.382 -5.125 -0.119
In Li Mg
1 2 1
Direct
0.500 0.750 0.750
0.000 0.011 0.987
0.000 0.489 0.513
0.500 0.250 0.250

***

# 5
CdSb2Rh | Alexandria via LeMat-Bulk | PBE | optimized geometry; VASP energy = -17.157 eV per cell; uncorrected formation energy = -62.3 kJ/mol of formula units; symmetry = R-3m (166)
1.0
-6.246 4.710 -0.864
-7.384 2.127 1.702
-5.284 5.114 2.805
Sb Rh Cd
2 1 1
Direct
0.234 0.234 0.234
0.766 0.766 0.766
0.500 0.500 0.500
0.000 0.000 0.000

***

# 6
NbVTeI2 | Alexandria via LeMat-Bulk | PBE | optimized geometry; VASP energy = -22.044 eV per cell; uncorrected formation energy = 326.8 kJ/mol of formula units; symmetry = P4/mmm (123); relative energy among the computed polymorphs = 0 meV per atom
1.0
-3.275 -4.530 0.847
4.153 -2.451 2.951
-1.938 2.262 4.605
Nb I V Te
1 2 1 1
Direct
0.000 0.000 0.000
0.000 0.500 0.000
0.500 0.000 0.000
0.500 0.500 0.500
0.000 0.000 0.500

***

# 7
RbBiS2 | Alexandria via LeMat-Bulk | PBE | optimized geometry; VASP energy = -15.587 eV per cell; uncorrected formation energy = -239.7 kJ/mol of formula units; symmetry = Cm (8)
1.0
-2.663 -0.372 -3.218
2.693 -2.567 -1.931
-3.236 -4.452 5.924
S Bi Rb
2 1 1
Direct
0.587 0.246 0.960
0.855 0.515 0.496
0.471 0.631 0.728
0.221 0.882 0.228

***

# 8
PrTh2Tl | Alexandria via LeMat-Bulk | PBE | optimized geometry; E_form = 30 meV per atom; VASP energy = -21.864 eV per cell; symmetry = P4/mmm (123); relative energy among the computed polymorphs = 123 meV per atom
1.0
4.245 0.000 0.000
0.000 4.245 0.000
0.000 0.000 7.040
Th Tl Pr
2 1 1
Direct
0.000 0.000 0.773
0.000 0.000 0.227
0.500 0.500 0.000
0.500 0.500 0.500

***

# 9
Zr2RhCl | Alexandria via LeMat-Bulk | PBE | optimized geometry; VASP energy = -28.527 eV per cell; uncorrected formation energy = -215.5 kJ/mol of formula units; symmetry = P4mm (99); relative energy among the computed polymorphs = 173 meV per atom
1.0
-2.370 2.235 -0.659
-0.955 -0.074 3.183
4.972 5.753 1.625
Zr Rh Cl
2 1 1
Direct
0.500 0.500 0.251
0.000 0.000 0.973
0.500 0.500 0.817
0.000 0.000 0.459

***

# 10
Dy4P3 | Alexandria via LeMat-Bulk | PBE | optimized geometry; E_form = -1365 meV per atom; VASP energy = -44.194 eV per cell; symmetry = R-3m (166)
1.0
3.912 0.000 0.787
1.877 3.432 0.787
-0.553 -0.328 12.860
P Dy
3 4
Direct
0.000 0.000 0.000
0.247 0.247 0.259
0.753 0.753 0.741
0.125 0.125 0.625
0.375 0.375 0.875
0.625 0.625 0.125
0.875 0.875 0.375

***

# 11
PrThGaHg | Alexandria via LeMat-Bulk | PBE | optimized geometry; E_form = -366 meV per atom; VASP energy = -16.993 eV per cell; symmetry = F-43m (216)
1.0
5.356 0.000 0.000
2.678 4.638 0.000
2.678 1.546 4.373
Pr Th Hg Ga
1 1 1 1
Direct
0.250 0.250 0.250
0.750 0.750 0.750
0.000 0.000 0.000
0.500 0.500 0.500

***

# 12
Be3SbMo | Alexandria via LeMat-Bulk | PBE | optimized geometry; VASP energy = -20.504 eV per cell; uncorrected formation energy = 543.1 kJ/mol of formula units; symmetry = Pm-3m (221); relative energy among the computed polymorphs = 0 meV per atom
1.0
-3.047 -1.113 -2.933
-1.919 -2.572 2.970
-2.481 3.357 1.303
Sb Mo Be
1 1 3
Direct
0.500 0.500 0.500
0.000 0.000 0.000
0.000 0.000 0.500
0.500 0.000 0.000
0.000 0.500 0.000

***

# 13
Mg2MoRu | Alexandria via LeMat-Bulk | PBE | optimized geometry; E_form = 256 meV per atom; VASP energy = -22.274 eV per cell; symmetry = C2/m (12); relative energy among the computed polymorphs = 270 meV per atom
1.0
5.305 -0.006 -0.004
-2.346 4.823 0.021
0.354 0.953 2.551
Ru Mg Mo
1 2 1
Direct
0.500 0.000 0.500
0.000 0.500 0.500
0.000 0.000 0.000
0.500 0.500 0.000

***

# 14
CaSm2Os | Alexandria via LeMat-Bulk | PBE | optimized geometry; E_form = -45 meV per atom; VASP energy = -22.849 eV per cell; symmetry = P4/mmm (123); relative energy among the computed polymorphs = 0 meV per atom
1.0
-1.985 2.390 1.571
-2.577 -0.665 -2.244
-3.544 -6.976 6.139
Sm Ca Os
2 1 1
Direct
0.000 0.000 0.170
0.000 0.000 0.830
0.500 0.500 0.500
0.500 0.500 0.000

***

# 15
Nd2AlHPt6 | Alexandria via LeMat-Bulk | PBE | optimized geometry; VASP energy = -61.610 eV per cell; symmetry = R-3m (166)
1.0
5.729 0.013 0.010
-0.018 6.920 0.889
2.846 4.038 4.927
Pt H Nd Al
6 1 2 1
Direct
0.732 0.268 0.041
0.773 0.732 0.959
0.732 0.773 0.536
0.268 0.732 0.959
0.227 0.268 0.041
0.268 0.227 0.464
0.500 0.500 0.000
0.718 0.282 0.564
0.282 0.718 0.436
0.000 0.000 0.000

***

# 16
NaNbSn3 | Alexandria via LeMat-Bulk | PBE | optimized geometry; E_form = 100 meV per atom; VASP energy = -22.896 eV per cell; symmetry = Pm-3m (221); relative energy among the computed polymorphs = 0 meV per atom
1.0
-4.336 -3.237 -0.342
3.078 -4.263 1.319
-1.056 0.860 5.247
Sn Na Nb
3 1 1
Direct
0.500 0.000 0.000
0.000 0.000 0.500
0.000 0.500 0.000
0.500 0.500 0.500
0.000 0.000 0.000

***

# 17
LiGdMgMn | Alexandria via LeMat-Bulk | PBE | optimized geometry; E_form = 163 meV per atom; VASP energy = -26.106 eV per cell; symmetry = F-43m (216)
1.0
4.948 0.000 0.000
2.474 4.285 0.000
2.474 1.428 4.040
Li Mn Gd Mg
1 1 1 1
Direct
0.000 0.000 0.000
0.500 0.500 0.500
0.750 0.750 0.750
0.250 0.250 0.250

***

# 18
Ce2TcAs4Rh3 | Alexandria via LeMat-Bulk | PBE | optimized geometry; E_form = -869 meV per atom; VASP energy = -71.577 eV per cell; symmetry = P-4m2 (115)
1.0
-2.804 2.714 1.878
1.766 -0.848 3.862
6.304 7.388 -1.261
As Rh Ce Tc
4 3 2 1
Direct
0.000 0.500 0.369
0.000 0.000 0.000
0.500 0.000 0.631
0.500 0.500 0.000
0.500 0.000 0.881
0.000 0.000 0.500
0.000 0.500 0.119
0.000 0.500 0.756
0.500 0.000 0.244
0.500 0.500 0.500

***

# 19
Tb2Pm3Ag2 | Alexandria via LeMat-Bulk | PBE | optimized geometry; E_form = -116 meV per atom; VASP energy = -30.026 eV per cell; symmetry = C2/m (12); relative energy among the computed polymorphs = 0 meV per atom
1.0
3.779 0.000 0.000
-1.889 6.512 -0.382
0.000 -3.494 8.640
Ag Pm Tb
2 3 2
Direct
0.825 0.650 0.776
0.175 0.350 0.224
0.500 0.000 0.000
0.610 0.220 0.445
0.390 0.780 0.555
0.852 0.704 0.186
0.148 0.296 0.814

***

# 20
ZnPdAu | Alexandria via LeMat-Bulk | PBE | optimized geometry; E_form = -280 meV per atom; VASP energy = -10.583 eV per cell; symmetry = P3m1 (156); relative energy among the computed polymorphs = 69 meV per atom
1.0
2.886 0.000 0.000
0.000 4.377 0.000
0.000 -2.188 3.791
Pd Zn Au
1 1 1
Direct
0.384 0.333 0.667
0.666 0.667 0.333
0.950 0.000 0.000